## Fe3Si (PBEsol)

Data for an optimized crystal structure of Fe3Si.

ΔE_f (raw): -0.35 eV per atom
crystal system: tetragonal

a = 3.882 Å, b = 3.882 Å, c = 6.192 Å
α = 108.27°, β = 108.27°, γ = 90.00°
Each line ends with the local moment (μB).
Fractional coordinates of all 8 atoms:
Fe1 0.500 0.000 0.000  0.75
Fe2 0.000 0.500 0.000  0.75
Fe3 0.750 0.250 0.500  1.11
Fe4 0.250 0.750 0.500  1.11
Fe5 0.124 0.124 0.249  2.43
Fe6 0.876 0.876 0.751  2.43
Si1 0.374 0.374 0.748  -0.03
Si2 0.626 0.626 0.252  -0.03

=====

## Hg2PbCl (PBEsol)

Data for an optimized crystal structure of Hg2PbCl.

ΔE_f (raw): -0.22 eV per atom
E above lowest polymorph: 65 meV/atom
crystal system: orthorhombic

a = 3.257 Å, b = 5.541 Å, c = 5.659 Å
α = 90.00°, β = 90.00°, γ = 90.00°
Fractional coordinates of all 4 atoms:
Pb1 0.500 0.500 0.000
Hg1 0.000 0.000 0.746
Hg2 0.000 0.000 0.254
Cl1 0.500 0.500 0.500

=====

## NbAgOF2 (PBEsol)

Data for an optimized crystal structure of NbAgOF2.

ΔE_f (raw): -1.61 eV per atom
crystal system: tetragonal

a = 3.935 Å, b = 4.243 Å, c = 4.243 Å
α = 90.00°, β = 90.00°, γ = 90.00°
Each line ends with the local moment (μB).
Fractional coordinates of all 5 atoms:
Nb1 0.000 0.000 0.000  1.25
O1 0.500 0.000 0.000  -0.06
Ag1 0.500 0.500 0.500  0.02
F1 0.000 0.000 0.500  0.04
F2 0.000 0.500 0.000  0.04

=====

> Which of these has the lowest ΔE_f (raw)?

NbAgOF2